# 1
Material: Pm12ErMg3
Method: DFT, PBE
State: relaxed

The space group is P4/mmm (No. 123) and the conventional cell measures 5.024, 5.024 and 20.252 Å, with angles of 90.00, 90.00 and 90.00 degrees. The inequivalent atoms are Pm at (0.000, 0.000, 0.000), Pm at (0.000, 0.000, 0.247), Pm at (0.000, 0.000, 0.500), Pm at (0.000, 0.500, 0.124), Pm at (0.000, 0.500, 0.372), Er at (0.500, 0.500, 0.500), Mg at (0.500, 0.500, 0.000) and Mg at (0.500, 0.500, 0.246).

Its calculated formation energy is 0.07 eV per formula unit.


# 2
Material: PmErMg14
Method: DFT, PBE
State: relaxed

The space group is P4/mmm (No. 123) and the conventional cell measures 6.934, 6.934 and 8.019 Å, with angles of 90.00, 90.00 and 90.00 degrees. The inequivalent atoms are Pm at (0.000, 0.000, 0.000), Er at (0.500, 0.500, 0.000), Mg at (0.000, 0.000, 0.500), Mg at (0.000, 0.500, 0.000), Mg at (0.000, 0.500, 0.500), Mg at (0.252, 0.252, 0.262) and Mg at (0.500, 0.500, 0.500).

Its calculated formation energy is -0.54 eV per formula unit.


# 3
Material: Pm3ErMg3
Method: DFT, PBE
State: relaxed

The space group is Cmmm (No. 65) and the conventional cell measures 10.755, 11.278 and 7.096 Å, with angles of 90.00, 90.00 and 90.00 degrees. The inequivalent atoms are Pm at (0.000, 0.000, 0.247), Pm at (0.250, 0.250, 0.253), Er at (0.190, 0.500, 0.000), Mg at (0.000, 0.257, 0.000), Mg at (0.000, 0.314, 0.500) and Mg at (0.217, 0.500, 0.500).

Its calculated formation energy is 0.48 eV per formula unit. For the energy above the most stable polymorph in this dataset, the calculation gives 0.000 eV/atom.


# 4
Material: Pm5ErMg6
Method: DFT, PBE
State: relaxed

The space group is Cmmm (No. 65) and the conventional cell measures 5.435, 16.324 and 7.697 Å, with angles of 90.00, 90.00 and 90.00 degrees. The inequivalent atoms are Pm at (0.000, 0.000, 0.000), Pm at (0.000, 0.332, 0.000), Pm at (0.000, 0.335, 0.500), Er at (0.000, 0.000, 0.500), Mg at (0.000, 0.165, 0.254) and Mg at (0.000, 0.500, 0.252).

Its calculated formation energy is -1.21 eV per formula unit.